# 1
Entry from Alexandria via LeMat-Bulk: a relaxed NbIn2FeO6 crystal (GGA+U).

The structure in extended XYZ format:
```
10
Lattice="5.514 0.038 -0.057 2.790 4.814 -0.003 2.718 1.642 4.862" Properties=species:S:1:pos:R:3 pbc="T T T"
In 5.527 3.246 1.984
O 6.352 4.611 3.713
O 6.223 1.854 3.689
O 7.647 3.271 1.151
Nb 2.776 1.628 0.271
O 4.458 5.081 1.181
O 3.870 3.332 3.700
Fe 8.272 4.854 2.736
O 4.478 1.331 1.236
In 2.737 1.645 4.437
```

Results
VASP energy in eV per atom: -6.807



# 2
Entry from Alexandria via LeMat-Bulk: a relaxed NbIn2FeO crystal (GGA+U).

The structure in extended XYZ format:
```
5
Lattice="5.444 0.000 0.000 0.000 3.453 0.000 0.000 0.000 5.444" Properties=species:S:1:pos:R:3 pbc="T T T"
In 0.000 0.000 2.722
O 0.000 1.726 0.000
In 2.722 0.000 0.000
Fe 0.000 0.000 0.000
Nb 2.722 1.726 2.722
```

Results
VASP energy in eV per atom: -5.024



# 3
Entry from Alexandria via LeMat-Bulk: a relaxed NbInFe2O6 crystal (GGA+U).

The structure in extended XYZ format:
```
10
Lattice="5.367 0.007 0.011 2.690 4.686 -0.024 2.695 1.534 4.806" Properties=species:S:1:pos:R:3 pbc="T T T"
O 3.855 3.124 3.597
Fe 5.383 3.105 2.094
O 7.266 3.118 1.203
O 6.183 4.497 3.694
O 4.381 4.825 1.180
O 4.426 1.381 1.151
In 8.057 4.681 2.724
O 6.139 1.746 3.676
Nb 2.673 1.547 0.296
Fe 2.714 1.543 4.429
```

Results
VASP energy in eV per atom: -7.216